#w
! PBE Ca3P2, relaxed; values from VASP
&SYSTEM
  ibrav = 0, nat = 5, ntyp = 2
/
ATOMIC_SPECIES
Ca 40.08 Ca.upf
P 30.97 P.upf
CELL_PARAMETERS angstrom
2.217 1.280 8.828
-2.217 1.280 8.828
0.000 -2.559 8.828
ATOMIC_POSITIONS angstrom
Ca 0.000 0.000 0.000
Ca 0.000 0.000 6.120
Ca 0.000 0.000 20.364
P 0.000 0.000 10.534
P 0.000 0.000 15.949
! M_tot   0.0 μB per formula unit
! Space group   R-3m
! Fermi-level density of states   0.01 states/eV/f.u.
! V   150.24 Å³/f.u.



#x
! PBE Ca3P2, relaxed; values from VASP
&SYSTEM
  ibrav = 0, nat = 15, ntyp = 2
/
ATOMIC_SPECIES
Ca 40.08 Ca.upf
P 30.97 P.upf
CELL_PARAMETERS angstrom
8.096 -2.342 0.000
8.096 2.342 0.000
-2.001 0.000 10.532
ATOMIC_POSITIONS angstrom
Ca 0.000 0.000 0.000
Ca -1.294 0.000 7.000
Ca 5.361 0.000 0.024
Ca 4.070 0.000 7.027
Ca 4.756 0.000 3.496
Ca 9.436 0.000 7.035
Ca 10.121 0.000 3.505
Ca 8.831 0.000 10.508
Ca 15.486 0.000 3.531
P 1.323 0.000 5.480
P 2.741 0.000 1.534
P 7.381 0.000 1.976
P 6.811 0.000 8.555
P 11.451 0.000 8.997
P 12.869 0.000 5.052
! M_tot   0.0 μB per formula unit
! Space group   C2/m
! V   133.14 Å³/f.u.



#y
! PBE Ca3P2, relaxed; values from VASP
&SYSTEM
  ibrav = 0, nat = 5, ntyp = 2
/
ATOMIC_SPECIES
Ca 40.08 Ca.upf
P 30.97 P.upf
CELL_PARAMETERS angstrom
5.302 0.000 0.000
0.000 5.302 0.000
0.000 0.000 5.302
ATOMIC_POSITIONS angstrom
Ca 0.000 0.000 2.651
Ca 0.000 2.651 0.000
Ca 2.651 0.000 0.000
P 0.000 0.000 0.000
P 2.651 2.651 2.651
! M_tot   0.0 μB per formula unit
! Space group   Pm-3m
! Fermi-level density of states   0.04 states/eV/f.u.
! V   149.07 Å³/f.u.



Stability summary - winner: #x; margin: 174 meV/atom.